A plane-wave DFT calculation with PBE was carried out for an optimized crystal structure of InGa2Hg.

a = 5.050 Å, b = 5.050 Å, c = 5.050 Å
α = 60.00°, β = 60.00°, γ = 60.00°
Atoms (fractional coordinates):
In1 0.000 0.000 0.000
Ga1 0.250 0.250 0.250
Ga2 0.750 0.750 0.750
Hg1 0.500 0.500 0.500

Values from the calculation:
Space group ... Fm-3m (225)
Total energy ... -8.799 eV per cell
Energy above the most stable polymorph in this dataset ... 20 meV per atom
ΔE_f ... 7.1 kJ per mole of atoms